# 1
Below is CdGaF5 after structural relaxation, with properties calculated at the PBE level.

Unit cell a=5.567 b=5.567 c=5.567 alpha=139.53 beta=107.38 gamma=86.59
Element x y z (fractional)
Cd 0.000 0.000 0.000
Ga 0.500 0.500 0.000
F 0.206 0.500 0.706
F 0.268 0.268 0.000
F 0.500 0.000 0.500
F 0.732 0.732 0.000
F 0.794 0.500 0.294

# 2
Below is LiRh2Se after structural relaxation, with properties calculated at the PBE level.

Unit cell a=2.845 b=2.845 c=8.425 alpha=90.00 beta=90.00 gamma=116.67
Element x y z (fractional)
Li 0.000 0.000 0.000
Rh 0.500 0.500 0.254
Rh 0.500 0.500 0.746
Se 0.000 0.000 0.500

# 3
Below is TlSeI2N after structural relaxation, with properties calculated at the PBE level.

Unit cell a=6.294 b=6.294 c=4.097 alpha=90.00 beta=90.00 gamma=90.00
Element x y z (fractional)
Tl 0.000 0.000 0.000
Se 0.500 0.500 0.500
I 0.000 0.500 0.000
I 0.500 0.000 0.000
N 0.000 0.000 0.500

| no. | calculated total energy (eV for the cell shown) | raw formation energy (eV per atom) |
| --- | --- | --- |
| 1 | -30.3 | -2.43 |
| 2 | -19.4 | 0.17 |
| 3 | -11.1 | 1.23 |